Density functional theory data (GGA-PBE) for a geometry-optimized CaIn3Pt2 structure.

Structure (CIF):
```
data_CaIn3Pt2
_symmetry_space_group_name_H-M 'R -3 m'
_symmetry_Int_Tables_number 166
_symmetry_space_group_name_Hall '-R 3 2"'
_cell_length_a 9.3026
_cell_length_b 9.3026
_cell_length_c 11.4545
_cell_angle_alpha 90.00
_cell_angle_beta 90.00
_cell_angle_gamma 120.00
loop_
_atom_site_label
_atom_site_fract_x
_atom_site_fract_y
_atom_site_fract_z
_atom_site_occupancy
Ca1 0.0000 0.0000 0.2495 1
In1 0.0002 0.5001 0.2500 1
Pt1 0.0000 0.0000 0.0000 1
Pt2 0.0000 0.5000 0.0000 1
```

Properties
DFT formation energy: -3.58 eV/f.u.
Excess energy over the best structure of this formula in the dataset: 0.000 eV per atom